1.
The following is a GGA-PBE calculation of Na4Al2PdAu after structural relaxation, from the Open Quantum Materials Database.

## Properties
V: 151.4 Å³/f.u.
Total energy: -2.746 eV/atom

a = 4.7471 Å, b = 4.7471 Å, c = 6.7186 Å
α = 90.00°, β = 90.00°, γ = 90.00°
Atoms (fractional coordinates):
Na: 0.0000 0.5000 0.2476
Na: 0.0000 0.0000 0.5000
Na: 0.5000 0.5000 0.0000
Na: 0.5000 0.0000 0.7524
Pd: 0.0000 0.0000 0.0000
Al: 0.0000 0.5000 0.7604
Al: 0.5000 0.0000 0.2396
Au: 0.5000 0.5000 0.5000

2.
The following is a GGA-PBE calculation of Na2Sc2Al2PdAu after structural relaxation, from the Open Quantum Materials Database.

## Properties
V: 144.4 Å³/f.u.
Magnetization: 0.0010 μB per atom
Total energy: -4.252 eV/atom

a = 4.6691 Å, b = 4.6691 Å, c = 6.6260 Å
α = 90.00°, β = 90.00°, γ = 90.00°
Atoms (fractional coordinates):
Au: 0.0000 0.0000 0.0000
Sc: 0.0000 0.5000 0.7441
Sc: 0.5000 0.0000 0.2559
Na: 0.5000 0.5000 0.0000
Na: 0.0000 0.0000 0.5000
Al: 0.5000 0.0000 0.7448
Al: 0.0000 0.5000 0.2552
Pd: 0.5000 0.5000 0.5000

3.
The following is a GGA-PBE calculation of Na2Sc2Al2PtAu after structural relaxation, from the Open Quantum Materials Database.

## Properties
V: 143.3 Å³/f.u.
Magnetization: 0.0006 μB per atom
Total energy: -4.471 eV/atom

a = 4.6583 Å, b = 4.6583 Å, c = 6.6029 Å
α = 90.00°, β = 90.00°, γ = 90.00°
Atoms (fractional coordinates):
Au: 0.0000 0.0000 0.0000
Na: 0.5000 0.5000 0.0000
Na: 0.0000 0.0000 0.5000
Al: 0.5000 0.0000 0.7420
Al: 0.0000 0.5000 0.2580
Pt: 0.5000 0.5000 0.5000
Sc: 0.0000 0.5000 0.7436
Sc: 0.5000 0.0000 0.2564

4.
The following is a GGA-PBE calculation of NaScAlAu after structural relaxation, from the Open Quantum Materials Database.

## Properties
V: 79.6 Å³/f.u.
Magnetization: 0.0002 μB per atom
Total energy: -3.895 eV/atom

a = 4.8281 Å, b = 4.8281 Å, c = 4.8281 Å
α = 60.00°, β = 60.00°, γ = 60.00°
Atoms (fractional coordinates):
Au: 0.7500 0.7500 0.7500
Sc: 0.0000 0.0000 0.0000
Na: 0.5000 0.5000 0.5000
Al: 0.2500 0.2500 0.2500

5.
The following is a GGA-PBE calculation of NaScAlAu after structural relaxation, from the Open Quantum Materials Database.

## Properties
V: 73.2 Å³/f.u.
Magnetization: 0.0002 μB per atom
Total energy: -4.024 eV/atom

a = 4.6963 Å, b = 4.6963 Å, c = 4.6963 Å
α = 60.00°, β = 60.00°, γ = 60.00°
Atoms (fractional coordinates):
Al: 0.5000 0.5000 0.5000
Sc: 0.0000 0.0000 0.0000
Na: 0.2500 0.2500 0.2500
Au: 0.7500 0.7500 0.7500

6.
The following is a GGA-PBE calculation of Na4AlSiAu2 after structural relaxation, from the Open Quantum Materials Database.

## Properties
V: 151.0 Å³/f.u.
Total energy: -2.700 eV/atom

a = 4.7380 Å, b = 4.7380 Å, c = 6.7284 Å
α = 90.00°, β = 90.00°, γ = 90.00°
Atoms (fractional coordinates):
Na: 0.5000 0.0000 0.2584
Na: 0.0000 0.5000 0.7416
Na: 0.0000 0.0000 0.0000
Na: 0.5000 0.5000 0.5000
Si: 0.0000 0.0000 0.5000
Au: 0.5000 0.0000 0.7492
Au: 0.0000 0.5000 0.2508
Al: 0.5000 0.5000 0.0000

7.
The following is a GGA-PBE calculation of Na4AlSnAu2 after structural relaxation, from the Open Quantum Materials Database.

## Properties
V: 164.1 Å³/f.u.
Total energy: -2.642 eV/atom

a = 4.8434 Å, b = 4.8434 Å, c = 6.9970 Å
α = 90.00°, β = 90.00°, γ = 90.00°
Atoms (fractional coordinates):
Sn: 0.5000 0.5000 0.5000
Na: 0.5000 0.0000 0.7602
Na: 0.5000 0.5000 0.0000
Na: 0.0000 0.0000 0.5000
Na: 0.0000 0.5000 0.2398
Au: 0.0000 0.5000 0.7705
Au: 0.5000 0.0000 0.2295
Al: 0.0000 0.0000 0.0000

8.
The following is a GGA-PBE calculation of NaSrAl4Au2 after structural relaxation, from the Open Quantum Materials Database.

## Properties
V: 169.2 Å³/f.u.
Total energy: -3.451 eV/atom

a = 7.2503 Å, b = 5.7365 Å, c = 5.7365 Å
α = 45.18°, β = 90.00°, γ = 90.00°
Atoms (fractional coordinates):
Au: 0.5000 0.7189 0.7189
Au: 0.0000 0.2875 0.2875
Al: 0.7007 0.1461 0.1461
Al: 0.8118 0.8495 0.8495
Al: 0.1882 0.8495 0.8495
Al: 0.2993 0.1461 0.1461
Na: 0.0000 0.5666 0.5666
Sr: 0.5000 0.4358 0.4358

9.
The following is a GGA-PBE calculation of NaAlTlAu after structural relaxation, from the Open Quantum Materials Database.

## Properties
V: 88.8 Å³/f.u.
Total energy: -2.620 eV/atom

a = 5.0076 Å, b = 5.0076 Å, c = 5.0076 Å
α = 60.00°, β = 60.00°, γ = 60.00°
Atoms (fractional coordinates):
Al: 0.2500 0.2500 0.2500
Tl: 0.0000 0.0000 0.0000
Au: 0.7500 0.7500 0.7500
Na: 0.5000 0.5000 0.5000

10.
The following is a GGA-PBE calculation of NaAlTlAu after structural relaxation, from the Open Quantum Materials Database.

## Properties
V: 84.4 Å³/f.u.
Total energy: -2.745 eV/atom

a = 4.9243 Å, b = 4.9243 Å, c = 4.9243 Å
α = 60.00°, β = 60.00°, γ = 60.00°
Atoms (fractional coordinates):
Tl: 0.2500 0.2500 0.2500
Na: 0.5000 0.5000 0.5000
Al: 0.0000 0.0000 0.0000
Au: 0.7500 0.7500 0.7500

11.
The following is a GGA-PBE calculation of Na4Al2ZnAu after structural relaxation, from the Open Quantum Materials Database.

## Properties
V: 161.6 Å³/f.u.
Total energy: -2.162 eV/atom

a = 4.8527 Å, b = 4.8527 Å, c = 6.8630 Å
α = 90.00°, β = 90.00°, γ = 90.00°
Atoms (fractional coordinates):
Au: 0.0000 0.0000 0.0000
Na: 0.5000 0.5000 0.0000
Na: 0.0000 0.5000 0.2516
Na: 0.0000 0.0000 0.5000
Na: 0.5000 0.0000 0.7484
Al: 0.5000 0.0000 0.2429
Al: 0.0000 0.5000 0.7571
Zn: 0.5000 0.5000 0.5000

12.
The following is a GGA-PBE calculation of NdAl3Au after structural relaxation, from the Open Quantum Materials Database.

## Properties
V: 102.1 Å³/f.u.
Magnetization: 0.0010 μB per atom
Total energy: -4.486 eV/atom

a = 4.3094 Å, b = 4.3094 Å, c = 6.2854 Å
α = 110.05°, β = 110.05°, γ = 89.99°
Atoms (fractional coordinates):
Al: 0.6498 0.1493 0.5939
Al: 0.7971 0.7971 0.8892
Al: 0.1493 0.6498 0.5939
Nd: 0.3880 0.3880 0.0703
Au: 0.0235 0.0235 0.3415

13.
The following is a GGA-PBE calculation of NdAl4Au8 after structural relaxation, from the Open Quantum Materials Database.

## Properties
V: 237.2 Å³/f.u.
Magnetization: 0.0006 μB per atom
Total energy: -4.012 eV/atom

a = 7.1094 Å, b = 7.1094 Å, c = 7.1094 Å
α = 98.69°, β = 98.69°, γ = 134.24°
Atoms (fractional coordinates):
Au: 0.5000 0.7187 0.2187
Au: 0.5000 0.2813 0.7813
Au: 0.7187 0.5000 0.2187
Au: 0.0000 0.3306 0.3306
Au: 0.6694 0.0000 0.6694
Au: 0.0000 0.6694 0.6694
Au: 0.2813 0.5000 0.7813
Au: 0.3306 0.0000 0.3306
Nd: 0.0000 0.0000 0.0000
Al: 0.0000 0.0000 0.5000
Al: 0.5000 0.0000 0.0000
Al: 0.5000 0.5000 0.5000
Al: 0.0000 0.5000 0.0000

14.
The following is a GGA-PBE calculation of NdAl7Au3 after structural relaxation, from the Open Quantum Materials Database.

## Properties
V: 203.7 Å³/f.u.
Magnetization: 0.0003 μB per atom
Total energy: -4.230 eV/atom

a = 8.1553 Å, b = 8.1553 Å, c = 8.4977 Å
α = 90.00°, β = 118.68°, γ = 120.00°
Atoms (fractional coordinates):
Al: 0.9217 0.5686 0.0899
Al: 0.5000 0.2500 0.7500
Al: 0.2631 0.8318 0.9101
Al: 0.4787 0.6470 0.9101
Al: 0.7369 0.0686 0.5899
Al: 0.4787 0.3318 0.4101
Al: 0.9217 0.8530 0.5899
Al: 0.0783 0.1470 0.4101
Al: 0.5213 0.6682 0.5899
Al: 0.7369 0.1682 0.0899
Al: 0.2631 0.9314 0.4101
Al: 0.5000 0.7500 0.2500
Al: 0.0783 0.4314 0.9101
Al: 0.5213 0.3530 0.0899
Au: 0.1787 0.4287 0.2500
Au: 0.8213 0.5713 0.7500
Au: 0.5000 0.9287 0.7500
Au: 0.1787 0.2500 0.7500
Au: 0.5000 0.0713 0.2500
Au: 0.8213 0.7500 0.2500
Nd: 0.0000 0.0000 0.0000
Nd: 0.0000 0.5000 0.5000

15.
The following is a GGA-PBE calculation of NdAl2NiAu after structural relaxation, from the Open Quantum Materials Database.

## Properties
V: 95.0 Å³/f.u.
Magnetization: 0.0010 μB per atom
Total energy: -4.876 eV/atom

a = 4.3164 Å, b = 4.3164 Å, c = 10.2021 Å
α = 90.00°, β = 90.00°, γ = 90.00°
Atoms (fractional coordinates):
Al: 0.0000 0.0000 0.5000
Al: 0.5000 0.5000 0.5000
Al: 0.0000 0.5000 0.1043
Al: 0.5000 0.0000 0.8957
Au: 0.5000 0.0000 0.6434
Au: 0.0000 0.5000 0.3566
Ni: 0.0000 0.0000 0.0000
Ni: 0.5000 0.5000 0.0000
Nd: 0.0000 0.5000 0.7670
Nd: 0.5000 0.0000 0.2330

16.
The following is a GGA-PBE calculation of NdAl2PdAu after structural relaxation, from the Open Quantum Materials Database.

## Properties
V: 100.1 Å³/f.u.
Magnetization: 0.0013 μB per atom
Total energy: -4.932 eV/atom

a = 4.4060 Å, b = 4.4060 Å, c = 10.3122 Å
α = 90.00°, β = 90.00°, γ = 90.00°
Atoms (fractional coordinates):
Nd: 0.5000 0.0000 0.7470
Nd: 0.0000 0.5000 0.2530
Au: 0.5000 0.5000 0.0000
Au: 0.0000 0.0000 0.0000
Pd: 0.5000 0.0000 0.3763
Pd: 0.0000 0.5000 0.6237
Al: 0.0000 0.0000 0.5000
Al: 0.5000 0.0000 0.1380
Al: 0.0000 0.5000 0.8620
Al: 0.5000 0.5000 0.5000

17.
The following is a GGA-PBE calculation of NdAl2PdAu after structural relaxation, from the Open Quantum Materials Database.

## Properties
V: 99.8 Å³/f.u.
Magnetization: 0.0015 μB per atom
Total energy: -4.960 eV/atom

a = 4.3758 Å, b = 4.3758 Å, c = 10.4205 Å
α = 90.00°, β = 90.00°, γ = 90.00°
Atoms (fractional coordinates):
Nd: 0.5000 0.0000 0.2471
Nd: 0.0000 0.5000 0.7529
Al: 0.0000 0.5000 0.1197
Al: 0.5000 0.5000 0.5000
Al: 0.0000 0.0000 0.5000
Al: 0.5000 0.0000 0.8803
Pd: 0.5000 0.5000 0.0000
Pd: 0.0000 0.0000 0.0000
Au: 0.5000 0.0000 0.6365
Au: 0.0000 0.5000 0.3635

18.
The following is a GGA-PBE calculation of PrNd2Al3PtAu2 after structural relaxation, from the Open Quantum Materials Database.

## Properties
V: 201.6 Å³/f.u.
Magnetization: 0.0001 μB per atom
Total energy: -5.080 eV/atom

a = 4.2078 Å, b = 7.4332 Å, c = 7.4332 Å
α = 119.87°, β = 90.00°, γ = 90.00°
Atoms (fractional coordinates):
Au: 0.5000 0.3312 0.6673
Au: 0.5000 0.6673 0.3312
Al: 0.5000 0.2247 0.2247
Al: 0.5000 0.7754 0.0009
Al: 0.5000 0.0009 0.7754
Nd: 0.0000 0.4120 0.0000
Nd: 0.0000 0.0000 0.4120
Pr: 0.0000 0.5874 0.5874
Pt: 0.0000 0.0013 0.0013

19.
The following is a GGA-PBE calculation of NdAlSiAu2 after structural relaxation, from the Open Quantum Materials Database.

## Properties
V: 99.7 Å³/f.u.
Magnetization: 0.0010 μB per atom
Total energy: -4.810 eV/atom

a = 4.3181 Å, b = 4.3181 Å, c = 10.6994 Å
α = 90.00°, β = 90.00°, γ = 90.00°
Atoms (fractional coordinates):
Au: 0.0000 0.0000 0.0000
Au: 0.5000 0.0000 0.3648
Au: 0.0000 0.5000 0.6352
Au: 0.5000 0.5000 0.0000
Si: 0.5000 0.0000 0.1355
Si: 0.0000 0.5000 0.8645
Al: 0.0000 0.0000 0.5000
Al: 0.5000 0.5000 0.5000
Nd: 0.0000 0.5000 0.2389
Nd: 0.5000 0.0000 0.7611

20.
The following is a GGA-PBE calculation of NdSm2Al7Au2 after structural relaxation, from the Open Quantum Materials Database.

## Properties
V: 243.2 Å³/f.u.
Magnetization: 0.0003 μB per atom
Total energy: -4.514 eV/atom

a = 9.3986 Å, b = 9.3986 Å, c = 9.3986 Å
α = 34.94°, β = 34.94°, γ = 34.94°
Atoms (fractional coordinates):
Sm: 0.8577 0.8577 0.8577
Sm: 0.1423 0.1423 0.1423
Al: 0.5869 0.5869 0.0732
Al: 0.9268 0.4131 0.4131
Al: 0.4131 0.4131 0.9268
Al: 0.0732 0.5869 0.5869
Al: 0.5000 0.5000 0.5000
Al: 0.5869 0.0732 0.5869
Al: 0.4131 0.9268 0.4131
Au: 0.3365 0.3365 0.3365
Au: 0.6635 0.6635 0.6635
Nd: 0.0000 0.0000 0.0000

21.
The following is a GGA-PBE calculation of Nd2SmAl7Au2 after structural relaxation, from the Open Quantum Materials Database.

## Properties
V: 244.9 Å³/f.u.
Magnetization: 0.0001 μB per atom
Total energy: -4.505 eV/atom

a = 9.4262 Å, b = 9.4262 Å, c = 9.4262 Å
α = 34.91°, β = 34.91°, γ = 34.91°
Atoms (fractional coordinates):
Al: 0.0728 0.5862 0.5862
Al: 0.9272 0.4138 0.4138
Al: 0.5862 0.5862 0.0728
Al: 0.4138 0.9272 0.4138
Al: 0.5862 0.0728 0.5862
Al: 0.5000 0.5000 0.5000
Al: 0.4138 0.4138 0.9272
Sm: 0.0000 0.0000 0.0000
Au: 0.3366 0.3366 0.3366
Au: 0.6634 0.6634 0.6634
Nd: 0.1421 0.1421 0.1421
Nd: 0.8579 0.8579 0.8579

22.
The following is a GGA-PBE calculation of NdAlSnAu2 after structural relaxation, from the Open Quantum Materials Database.

## Properties
V: 111.9 Å³/f.u.
Magnetization: 0.0011 μB per atom
Total energy: -4.470 eV/atom

a = 4.5003 Å, b = 4.5003 Å, c = 11.0467 Å
α = 90.00°, β = 90.00°, γ = 90.00°
Atoms (fractional coordinates):
Nd: 0.0000 0.5000 0.2547
Nd: 0.5000 0.0000 0.7453
Al: 0.0000 0.0000 0.5000
Al: 0.5000 0.5000 0.5000
Au: 0.0000 0.0000 0.0000
Au: 0.5000 0.5000 0.0000
Au: 0.5000 0.0000 0.3874
Au: 0.0000 0.5000 0.6126
Sn: 0.5000 0.0000 0.1463
Sn: 0.0000 0.5000 0.8537

23.
The following is a GGA-PBE calculation of AlNiAu2 after structural relaxation, from the Open Quantum Materials Database.

## Properties
V: 62.0 Å³/f.u.
Magnetization: 0.0003 μB per atom
Total energy: -4.138 eV/atom

a = 4.4415 Å, b = 4.4415 Å, c = 4.4415 Å
α = 60.00°, β = 60.00°, γ = 60.00°
Atoms (fractional coordinates):
Au: 0.0000 0.0000 0.0000
Au: 0.7500 0.7500 0.7500
Ni: 0.2500 0.2500 0.2500
Al: 0.5000 0.5000 0.5000

24.
The following is a GGA-PBE calculation of AlNiPbAu after structural relaxation, from the Open Quantum Materials Database.

## Properties
V: 73.0 Å³/f.u.
Magnetization: 0.0015 μB per atom
Total energy: -3.922 eV/atom

a = 4.6906 Å, b = 4.6906 Å, c = 4.6906 Å
α = 60.00°, β = 60.00°, γ = 60.00°
Atoms (fractional coordinates):
Pb: 0.0000 0.0000 0.0000
Ni: 0.2500 0.2500 0.2500
Au: 0.7500 0.7500 0.7500
Al: 0.5000 0.5000 0.5000